The following is a PBE calculation of a relaxed structure of Nd2DyY4Ho2, from Alexandria.

Calculated values
Formation energy from the elements = 84 meV per atom
VASP energy = -5.377 eV per atom
Mass density = 6.4 g/cm3
Symmetry = P-1 (2)

Cell lengths 6.006, 6.641, 8.648 Å; angles 80.39, 70.52, 65.27 degrees
Fractional coordinates of all 9 atoms:
Nd 0.229 0.320 0.343
Nd 0.771 0.680 0.657
Dy 0.500 0.000 0.000
Y 0.113 0.129 0.762
Y 0.245 0.575 0.886
Y 0.755 0.425 0.114
Y 0.887 0.871 0.238
Ho 0.323 0.767 0.446
Ho 0.677 0.233 0.554

The following is a PBE calculation of a relaxed structure of Al2SbRu, from Alexandria.

Calculated values
VASP energy = -5.163 eV per atom
Mass density = 6.7 g/cm3
Uncorrected formation energy = 0.06 eV per atom
Symmetry = Imm2 (44)

Cell lengths 4.955, 4.955, 4.955 Å; angles 134.16, 126.19, 73.31 degrees
Fractional coordinates of all 4 atoms:
Al 0.000 0.000 0.000
Al 0.745 0.245 0.500
Sb 0.487 0.487 0.000
Ru 0.221 0.721 0.500

The following is a PBE calculation of a relaxed structure of SiTe2NCl, from Alexandria.

Calculated values
Distance to the lowest polymorph of the same formula = 0.00 eV per formula unit
VASP energy = -4.071 eV per atom
Mass density = 5.1 g/cm3
Uncorrected formation energy = 0.30 eV per atom
Symmetry = P4/mmm (123)

Cell lengths 5.766, 5.766, 3.261 Å; angles 90.00, 90.00, 90.00 degrees
Fractional coordinates of all 5 atoms:
Si 0.000 0.000 0.000
Te 0.000 0.500 0.000
Te 0.500 0.000 0.000
N 0.000 0.000 0.500
Cl 0.500 0.500 0.500

Number 2 is which compound? Al2SbRu